KCrMo2O8 | PBE+U | optimized geometry

```
data_KCrMo2O8
_chemical_formula_sum 'K4 Cr4 Mo8 O32'
_space_group_name_H-M_alt 'C 1 2/c 1'
_space_group_IT_number 15
_space_group_name_Hall '-C 2yc'
_cell_length_a 18.102
_cell_length_b 5.764
_cell_length_c 9.256
_cell_angle_alpha 90.00
_cell_angle_beta 119.39
_cell_angle_gamma 90.00
loop_
_atom_site_label
_atom_site_type_symbol
_atom_site_fract_x
_atom_site_fract_y
_atom_site_fract_z
_atom_site_occupancy
K1 K 0.000 0.184 0.250 1
Cr1 Cr 0.250 0.250 0.500 1
Mo1 Mo 0.150 0.272 0.764 1
O1 O 0.047 0.218 0.607 1
O2 O 0.149 0.446 0.353 1
O3 O 0.178 0.039 0.916 1
O4 O 0.220 0.276 0.680 1
```

## Properties
- mass density (g/cm³) = 3.2
- D(E_F) (states/eV per cell) = 0.0
- calculated total energy (eV/atom) = -6.991